P | First-principles (GGA-PBE) data for a geometry-optimized LaGaAg3 structure, as listed in the Alexandria database.

The structure in POSCAR format:
```
LaGaAg3
1.0
-4.538 1.531 2.061
-3.355 -1.883 -3.520
-3.207 -3.618 1.533
La Ga Ag
1 1 3
Direct
0.597 0.597 0.802
0.303 0.303 0.579
0.298 0.891 0.309
0.891 0.298 0.309
0.912 0.912 0.998
```

Output
**DOS(E_F)**: 0.578 states/eV/atom

---

Q | First-principles (GGA-PBE) data for a geometry-optimized LaGaAg3 structure, as listed in the Alexandria database.

The structure in POSCAR format:
```
LaGaAg3
1.0
-3.351 1.567 4.594
4.303 -1.624 3.693
2.246 5.450 -0.220
Ga Ag La
1 3 1
Direct
0.500 0.500 0.500
0.000 0.500 0.000
0.000 0.000 0.500
0.500 0.000 0.000
0.000 0.000 0.000
```

Output
**DOS(E_F)**: 0.621 states/eV/atom

---

Most stable of them? P.

---

P | First-principles (GGA-PBE) data for a geometry-optimized LaGa2Ag structure, as listed in the Alexandria database.

The structure in POSCAR format:
```
LaGa2Ag
1.0
-1.245 3.012 -3.047
-4.196 0.038 -1.514
-3.178 4.363 2.345
Ga Ag La
2 1 1
Direct
0.784 0.784 0.648
0.216 0.216 0.352
0.500 0.500 0.500
0.000 0.000 0.000
```

Output
**DOS(E_F)**: 0.520 states/eV/atom

---

Q | First-principles (GGA-PBE) data for a geometry-optimized LaGa2Ag structure, as listed in the Alexandria database.

The structure in POSCAR format:
```
LaGa2Ag
1.0
-2.487 2.895 2.304
-1.425 -4.205 3.746
3.622 2.957 0.193
La Ga Ag
1 2 1
Direct
0.500 0.794 0.588
0.000 0.085 0.169
0.500 0.263 0.526
0.000 0.461 0.923
```

Output
**DOS(E_F)**: 0.497 states/eV/atom

---

Most stable of them? P.

---

P | First-principles (GGA-PBE) data for a geometry-optimized LaGa2Ag structure, as listed in the Alexandria database.

The structure in POSCAR format:
```
LaGa2Ag
1.0
4.468 0.000 0.000
0.000 4.520 0.000
0.000 0.000 4.520
Ga Ag La
2 1 1
Direct
0.000 0.000 0.500
0.000 0.500 0.000
0.500 0.000 0.000
0.500 0.500 0.500
```

Output
**DOS(E_F)**: 0.777 states/eV/atom

---

Q | First-principles (GGA-PBE) data for a geometry-optimized LaGa2Ag structure, as listed in the Alexandria database.

The structure in POSCAR format:
```
LaGa2Ag
1.0
0.000 3.521 3.521
3.521 0.000 3.521
3.521 3.521 0.000
Ga Ag La
2 1 1
Direct
0.250 0.250 0.250
0.750 0.750 0.750
0.000 0.000 0.000
0.500 0.500 0.500
```

Output
**DOS(E_F)**: 0.235 states/eV/atom

---

R | First-principles (GGA-PBE) data for a geometry-optimized LaGa2Ag structure, as listed in the Alexandria database.

The structure in POSCAR format:
```
LaGa2Ag
1.0
-4.251 1.674 -1.516
0.147 -4.331 -5.191
-5.008 -7.316 5.962
La Ga Ag
4 8 4
Direct
0.750 0.250 0.357
0.250 0.750 0.643
0.750 0.750 0.143
0.250 0.250 0.857
0.250 0.945 0.366
0.750 0.055 0.634
0.250 0.445 0.134
0.750 0.555 0.866
0.250 0.055 0.134
0.750 0.945 0.866
0.250 0.555 0.366
0.750 0.445 0.634
0.750 0.250 0.055
0.250 0.750 0.945
0.750 0.750 0.445
0.250 0.250 0.555
```

Output
**DOS(E_F)**: 0.357 states/eV/atom

---

Most stable of them? R.

---

P | First-principles (GGA-PBE) data for a geometry-optimized La2Ga2Ag structure, as listed in the Alexandria database.

The structure in POSCAR format:
```
La2Ga2Ag
1.0
-0.377 -4.144 2.187
5.161 -1.902 2.339
-2.292 2.598 9.582
La Ga Ag
4 4 2
Direct
0.692 0.287 0.329
0.920 0.269 0.890
0.308 0.713 0.671
0.080 0.731 0.110
0.073 0.293 0.560
0.628 0.851 0.893
0.927 0.707 0.440
0.372 0.149 0.107
0.619 0.111 0.651
0.381 0.889 0.349
```

Output
**DOS(E_F)**: 0.804 states/eV/atom

---

Q | First-principles (GGA-PBE) data for a geometry-optimized La2Ga2Ag structure, as listed in the Alexandria database.

The structure in POSCAR format:
```
La2Ga2Ag
1.0
-3.229 6.275 -1.800
-6.054 -2.127 3.446
1.601 1.982 4.037
Ga Ag La
4 2 4
Direct
0.367 0.867 0.000
0.867 0.633 0.000
0.633 0.133 0.000
0.133 0.367 0.000
0.000 0.000 0.000
0.500 0.500 0.000
0.168 0.668 0.500
0.668 0.832 0.500
0.832 0.332 0.500
0.332 0.168 0.500
```

Output
**DOS(E_F)**: 1.702 states/eV/atom

---

Most stable of them? P.

---

P | First-principles (GGA-PBE) data for a geometry-optimized Li3Ga2Ag2 structure, as listed in the Alexandria database.

The structure in POSCAR format:
```
Li3Ga2Ag2
1.0
4.269 -0.034 -1.369
-2.346 3.820 -0.006
-0.171 -0.052 6.863
Li Ga Ag
3 2 2
Direct
0.000 0.000 0.000
0.714 0.856 0.571
0.286 0.144 0.429
0.142 0.571 0.713
0.858 0.429 0.287
0.434 0.717 0.151
0.566 0.283 0.849
```

Output
**DOS(E_F)**: 0.336 states/eV/atom

---

Q | First-principles (GGA-PBE) data for a geometry-optimized Li3Ga2Ag2 structure, as listed in the Alexandria database.

The structure in POSCAR format:
```
Li3Ga2Ag2
1.0
-3.734 2.442 -0.390
-0.094 -3.897 2.204
2.739 4.847 4.129
Li Ga Ag
3 2 2
Direct
0.500 0.000 0.000
0.643 0.285 0.428
0.357 0.715 0.572
0.781 0.563 0.844
0.219 0.437 0.156
0.924 0.848 0.272
0.076 0.152 0.728
```

Output
**DOS(E_F)**: 0.230 states/eV/atom

---

Most stable of them? P.

---

P | First-principles (GGA-PBE) data for a geometry-optimized Li2Ga3Ag5 structure, as listed in the Alexandria database.

The structure in POSCAR format:
```
Li2Ga3Ag5
1.0
5.534 0.000 0.000
2.767 8.321 -1.370
2.767 -0.070 8.433
Li Ga Ag
4 6 10
Direct
0.144 0.581 0.132
0.644 0.132 0.581
0.856 0.419 0.868
0.356 0.868 0.419
0.376 0.479 0.770
0.876 0.770 0.479
0.624 0.521 0.230
0.124 0.230 0.521
0.250 0.000 0.000
0.750 0.000 0.000
0.407 0.254 0.932
0.907 0.932 0.254
0.593 0.746 0.068
0.093 0.068 0.746
0.492 0.758 0.758
0.508 0.242 0.242
0.750 0.500 0.500
0.250 0.500 0.500
0.008 0.242 0.242
0.992 0.758 0.758
```

Output
**DOS(E_F)**: 0.270 states/eV/atom

---

Q | First-principles (GGA-PBE) data for a geometry-optimized Li2Ga3Ag5 structure, as listed in the Alexandria database.

The structure in POSCAR format:
```
Li2Ga3Ag5
1.0
5.524 0.208 -0.375
-0.751 7.781 -2.118
0.247 -0.340 8.088
Li Ga Ag
4 6 10
Direct
0.877 0.620 0.129
0.377 0.129 0.620
0.123 0.380 0.871
0.623 0.871 0.380
0.622 0.479 0.771
0.122 0.771 0.479
0.378 0.521 0.229
0.878 0.229 0.521
0.250 0.041 0.959
0.750 0.959 0.041
0.611 0.278 0.965
0.111 0.965 0.278
0.389 0.722 0.035
0.889 0.035 0.722
0.989 0.710 0.803
0.011 0.290 0.197
0.750 0.546 0.454
0.250 0.454 0.546
0.511 0.197 0.290
0.489 0.803 0.710
```

Output
**DOS(E_F)**: 0.271 states/eV/atom

---

Most stable of them? Q.